Below is Pr2TmAl9 after structural relaxation, with properties calculated at the GGA-PBE level.

It has space group R-3m (No. 166, hexagonal axes), with a = 5.6585 Å, b = 5.6585 Å, c = 26.5096 Å, α = 90.00°, β = 90.00° and γ = 120.00°. The asymmetric unit holds Pr at (0.0000, 0.0000, 0.1417), Tm at (0.0000, 0.0000, 0.0000), Al at (0.0000, 0.0000, 0.3351), Al at (0.0000, 0.0000, 0.5000) and Al at (0.0071, 0.5036, 0.9183).

Its magnetic moment is 0.0 Bohr magnetons per cell. The value obtained for the total energy is -4.3017 eV/atom.

=====

Below is PrTm5Al6 after structural relaxation, with properties calculated at the GGA-PBE level.

It has space group Immm (No. 71), with a = 5.093 Å, b = 7.102 Å, c = 15.302 Å, α = 90.00°, β = 90.00° and γ = 90.00°. The asymmetric unit holds Pr at (0.000, 0.000, 0.000), Tm at (0.000, 0.000, 0.331), Tm at (0.000, 0.500, 0.000), Tm at (0.000, 0.500, 0.338), Al at (0.000, 0.232, 0.500) and Al at (0.000, 0.259, 0.171).

Its magnetic moment is 0.0 Bohr magnetons per cell. The value obtained for the total energy is -4.5097 eV/atom.

=====

Look up the total energy of the first one. -4.3017 eV/atom